DFT (meta-GGA SCAN) results for a PBEsol-optimized structure of NaSrIn2Pd.

Results
The value obtained for the total energy is -125.3 eV/cell. The energy relative to the elements comes out at 0.14 eV/atom.

Lattice parameters (Å, degrees): 4.927 5.276 5.276 90.00 90.00 90.00
Fractional positions:
Sr1 0.500 0.500 0.500
Na1 0.000 0.000 0.000
Pd1 0.500 0.000 0.000
In1 0.000 0.000 0.500
In2 0.000 0.500 0.000